1.
Entry from the Alexandria database: Cs2VSbI6 after structural relaxation (PBE-GGA).

Structure (extended XYZ):
```
10
Lattice="8.4982 0.0000 0.0000 0.0000 8.4982 0.0000 4.2491 4.2491 6.0194" Properties=species:S:1:pos:R:3 pbc="T T T"
V 4.2491 4.2491 0.0000
I 6.2926 6.2926 0.0000
I 2.2056 2.2056 0.0000
I 8.4982 8.4982 3.1339
I 6.2926 2.2056 0.0000
I 2.2056 6.2926 0.0000
I 4.2491 4.2491 2.8855
Sb 0.0000 0.0000 0.0000
Cs 4.2491 8.4982 3.0097
Cs 8.4982 4.2491 3.0097
```

Crystal system: tetragonal
ΔE_f (raw): -69 kJ/mol of atoms
Spin magnetization: 4.0 μB/f.u.
Density of states at the Fermi level: 5.45 states/eV/f.u.
SG: No. 139
V: 434.72 Å³/cell

---

2.
Entry from the Alexandria database: CsVSb2I after structural relaxation (PBE-GGA).

Structure (extended XYZ):
```
5
Lattice="6.0779 0.0000 0.0000 0.0000 6.0779 0.0000 0.0000 0.0000 6.4362" Properties=species:S:1:pos:R:3 pbc="T T T"
Cs 0.0000 0.0000 0.0000
Sb 0.0000 3.0390 0.0000
Sb 3.0390 0.0000 0.0000
V 3.0390 3.0390 3.2181
I 0.0000 0.0000 3.2181
```

Crystal system: tetragonal
ΔE_f (raw): 181 kJ/mol of atoms
Spin magnetization: 0.8 μB/f.u.
Density of states at the Fermi level: 11.54 states/eV/f.u.
ΔE to the lowest computed polymorph: 2080.2 meV/atom
SG: No. 123
V: 237.76 Å³/cell

---

3.
Entry from the Alexandria database: CsSbWI2 after structural relaxation (PBE-GGA).

Structure (extended XYZ):
```
5
Lattice="5.9999 0.0000 0.0000 0.0000 5.9999 0.0000 0.0000 0.0000 5.2576" Properties=species:S:1:pos:R:3 pbc="T T T"
Cs 3.0000 3.0000 2.6288
Sb 0.0000 0.0000 2.6288
I 3.0000 0.0000 0.0000
I 0.0000 3.0000 0.0000
W 0.0000 0.0000 0.0000
```

Crystal system: tetragonal
ΔE_f (raw): 6 kJ/mol of atoms
Spin magnetization: 1.9 μB/f.u.
Density of states at the Fermi level: 2.30 states/eV/f.u.
SG: No. 123
V: 189.27 Å³/cell

---

4.
Entry from the Alexandria database: CsSb2WI after structural relaxation (PBE-GGA).

Structure (extended XYZ):
```
5
Lattice="-1.8558 3.3324 3.6353 -4.8135 -0.3791 -2.1097 -1.2964 -4.9117 3.8405" Properties=species:S:1:pos:R:3 pbc="T T T"
Sb -2.4067 -0.1896 -1.0549
Sb -0.9279 1.6662 1.8177
Cs -3.9829 -0.9792 2.6830
W 0.0000 0.0000 0.0000
I -0.6482 -2.4558 1.9202
```

Crystal system: tetragonal
ΔE_f (raw): 12 kJ/mol of atoms
Spin magnetization: 0.6 μB/f.u.
Density of states at the Fermi level: 4.00 states/eV/f.u.
ΔE to the lowest computed polymorph: 0.0 meV/atom
SG: No. 123
V: 176.81 Å³/cell

---

5.
Entry from the Alexandria database: CsSb2WI after structural relaxation (PBE-GGA).

Structure (extended XYZ):
```
5
Lattice="-4.4383 -1.2372 -4.4959 4.6306 -0.4382 -4.4507 0.5706 -6.5473 1.2383" Properties=species:S:1:pos:R:3 pbc="T T T"
W 0.3814 -4.1113 -3.8541
Sb 2.3153 -0.2191 -2.2253
Sb -2.2192 -0.6186 -2.2480
I 0.2853 -3.2737 0.6192
Cs 0.0000 0.0000 0.0000
```

Crystal system: tetragonal
ΔE_f (raw): 217 kJ/mol of atoms
Spin magnetization: 2.5 μB/f.u.
Density of states at the Fermi level: 8.06 states/eV/f.u.
ΔE to the lowest computed polymorph: 2123.3 meV/atom
SG: No. 123
V: 277.16 Å³/cell

---

6.
Entry from the Alexandria database: Cs2YSbI6 after structural relaxation (PBE-GGA).

Structure (extended XYZ):
```
10
Lattice="8.5794 0.0000 0.0000 0.0000 8.5794 0.0000 4.2897 4.2897 7.1764" Properties=species:S:1:pos:R:3 pbc="T T T"
I 4.2897 4.2897 3.0276
I 8.5794 8.5794 4.1488
I 2.1495 2.1495 0.0000
I 6.4299 6.4299 0.0000
I 6.4299 2.1495 0.0000
I 2.1495 6.4299 0.0000
Cs 8.5794 4.2897 3.5882
Cs 4.2897 8.5794 3.5882
Y 4.2897 4.2897 0.0000
Sb 0.0000 0.0000 0.0000
```

Crystal system: tetragonal
ΔE_f (raw): -100 kJ/mol of atoms
Spin magnetization: 0.0 μB/f.u.
Density of states at the Fermi level: 0.00 states/eV/f.u.
SG: No. 139
V: 528.23 Å³/cell

---

7.
Entry from the Alexandria database: CsZnSbI2 after structural relaxation (PBE-GGA).

Structure (extended XYZ):
```
5
Lattice="-1.1692 -5.9543 1.4119 5.1462 -1.7345 -3.0533 2.8036 0.5023 4.4401" Properties=species:S:1:pos:R:3 pbc="T T T"
I 2.5731 -0.8673 -1.5266
I -0.5846 -2.9772 0.7060
Cs 3.3903 -3.5933 1.3994
Zn 0.0000 0.0000 0.0000
Sb 1.4018 0.2512 2.2200
```

Crystal system: tetragonal
ΔE_f (raw): -38 kJ/mol of atoms
Spin magnetization: 1.7 μB/f.u.
Density of states at the Fermi level: 2.43 states/eV/f.u.
ΔE to the lowest computed polymorph: 0.0 meV/atom
SG: No. 123
V: 204.75 Å³/cell

---

8.
Entry from the Alexandria database: CsZnSbI2 after structural relaxation (PBE-GGA).

Structure (extended XYZ):
```
5
Lattice="-4.8770 -0.6009 -5.5292 -5.2210 -2.0400 4.8268 -2.2060 8.1533 1.0598" Properties=species:S:1:pos:R:3 pbc="T T T"
I -2.4385 -0.3004 -2.7646
I -2.6105 -1.0200 2.4134
Cs 0.0000 0.0000 0.0000
Zn -6.1520 2.7562 0.1787
Sb -1.1030 4.0767 0.5299
```

Crystal system: tetragonal
ΔE_f (raw): 39 kJ/mol of atoms
Spin magnetization: 3.8 μB/f.u.
Density of states at the Fermi level: 16.89 states/eV/f.u.
ΔE to the lowest computed polymorph: 794.9 meV/atom
SG: No. 123
V: 465.80 Å³/cell

---

9.
Entry from the Alexandria database: CsZnSbI6 after structural relaxation (PBE-GGA).

Structure (extended XYZ):
```
9
Lattice="7.6829 0.0008 0.0007 3.8422 6.6531 -0.0006 0.0009 -0.0015 8.7895" Properties=species:S:1:pos:R:3 pbc="T T T"
I 2.5258 4.1429 6.0922
I 6.1681 2.3943 6.0933
I 4.8514 0.1146 2.6972
I 2.8322 0.1144 6.0932
I 5.1584 4.1432 2.6962
I 1.5159 2.3942 2.6962
Sb 7.6836 4.4352 4.3947
Cs 11.5256 6.6523 8.7896
Zn 3.8422 2.2175 4.3947
```

Crystal system: trigonal
ΔE_f (raw): -62 kJ/mol of atoms
Spin magnetization: 0.0 μB/f.u.
Density of states at the Fermi level: 0.00 states/eV/f.u.
SG: No. 149
V: 449.25 Å³/cell

---

10.
Entry from the Alexandria database: CsZrSbI2 after structural relaxation (PBE-GGA).

Structure (extended XYZ):
```
5
Lattice="-3.3268 -4.7413 -1.5945 1.6405 0.7749 -5.7270 4.4157 -3.3703 0.8089" Properties=species:S:1:pos:R:3 pbc="T T T"
Zr 0.0000 0.0000 0.0000
I 0.8202 0.3875 -2.8635
I -1.6634 -2.3707 -0.7972
Sb 2.2078 -1.6852 0.4044
Cs 1.3647 -3.6684 -3.2563
```

Crystal system: tetragonal
ΔE_f (raw): -65 kJ/mol of atoms
Spin magnetization: 0.0 μB/f.u.
Density of states at the Fermi level: 2.90 states/eV/f.u.
ΔE to the lowest computed polymorph: 0.0 meV/atom
SG: No. 123
V: 202.59 Å³/cell

---

11.
Entry from the Alexandria database: CsZrSbI2 after structural relaxation (PBE-GGA).

Structure (extended XYZ):
```
5
Lattice="6.7819 0.0000 0.0000 0.0000 6.7819 0.0000 0.0000 0.0000 6.4186" Properties=species:S:1:pos:R:3 pbc="T T T"
Sb 0.0000 0.0000 3.2093
Zr 3.3910 3.3910 3.2093
Cs 0.0000 0.0000 0.0000
I 3.3910 0.0000 0.0000
I 0.0000 3.3910 0.0000
```

Crystal system: tetragonal
ΔE_f (raw): 98 kJ/mol of atoms
Spin magnetization: 1.0 μB/f.u.
Density of states at the Fermi level: 4.97 states/eV/f.u.
ΔE to the lowest computed polymorph: 1688.7 meV/atom
SG: No. 123
V: 295.22 Å³/cell

---

12.
Entry from the Alexandria database: CsSc3I after structural relaxation (PBE-GGA).

Structure (extended XYZ):
```
5
Lattice="5.6195 0.0000 0.0000 0.0000 5.6195 0.0000 0.0000 0.0000 5.6195" Properties=species:S:1:pos:R:3 pbc="T T T"
Sc 0.0000 2.8098 0.0000
Sc 0.0000 0.0000 2.8098
Sc 2.8098 0.0000 0.0000
I 0.0000 0.0000 0.0000
Cs 2.8098 2.8098 2.8098
```

Crystal system: cubic
ΔE_f (raw): 64 kJ/mol of atoms
Spin magnetization: 2.1 μB/f.u.
Density of states at the Fermi level: 10.93 states/eV/f.u.
ΔE to the lowest computed polymorph: 0.0 meV/atom
SG: No. 221
V: 177.46 Å³/cell